Record 1
First-principles (GGA-PBE) data for crystalline NbCuBi3 at its relaxed geometry, as listed in Alexandria via LeMat-Bulk.

abc: 5.2030 5.2030 5.2030
angles: 90.00 90.00 90.00
Last column: nearest neighbours and their distance in Å.
Space group Pm-3m (No. 221)
Asymmetric unit:
Nb 0.0000 0.0000 0.0000  12 Bi 3.68
Cu 0.5000 0.5000 0.5000  6 Bi 2.60
Bi 0.0000 0.5000 0.5000  2 Cu 2.60

Output
The calculation puts the volume at 28.2 A^3/atom. The total energy is -21.50 eV/cell. The value obtained for the energy above the most stable polymorph in this dataset is 58.2 kJ/mol of formula units. Its density of states at the Fermi level is 0.546 states/eV/atom.

=====

Record 2
First-principles (GGA-PBE) data for crystalline TiHg2Ir at its relaxed geometry, as listed in Alexandria via LeMat-Bulk.

abc: 7.6881 7.6881 5.4413
angles: 90.00 90.00 90.00
Last column: nearest neighbours and their distance in Å.
Space group I-42d (No. 122)
Asymmetric unit:
Ti 0.0000 0.0000 0.0000  2 Ir 2.72, 4 Hg 2.85
Hg 0.2406 0.2500 0.6250  2 Hg 2.72, 2 Ir 2.75, 2 Ti 2.85
Ir 0.0000 0.0000 0.5000  2 Ti 2.72, 4 Hg 2.75

Output
The calculation puts the volume at 20.1 A^3/atom. The total energy is -61.38 eV/cell. The value obtained for the energy above the most stable polymorph in this dataset is 143.8 kJ/mol of formula units. Its density of states at the Fermi level is 0.946 states/eV/atom.

=====

Record 3
First-principles (GGA-PBE) data for crystalline RbAl2Bi2 at its relaxed geometry, as listed in Alexandria via LeMat-Bulk.

abc: 9.1561 9.1561 3.9168
angles: 90.00 90.00 90.00
Last column: nearest neighbours and their distance in Å.
Space group P4/mbm (No. 127)
Asymmetric unit:
Rb 0.0000 0.0000 0.0000  4 Bi 3.60, 2 Rb 3.92
Al 0.1245 0.3755 0.5000  4 Bi 3.04, 1 Al 3.22
Bi 0.1288 0.6288 0.0000  4 Al 3.04, 1 Bi 3.34

Output
The calculation puts the volume at 32.8 A^3/atom. The total energy is -31.08 eV/cell. The value obtained for the energy above the most stable polymorph in this dataset is 119.4 kJ/mol of formula units. Its density of states at the Fermi level is 0.284 states/eV/atom.

=====

> Look up the density of states at the Fermi level of the third one.

0.284 states/eV/atom